Entry 1:
Computed, not measured: crystalline Nd2CuSn2 at its relaxed geometry at the GGA-PBE level of DFT.

Properties
The value obtained for the magnetic moment is 0.065 μB per cell. The value obtained for the volume is 26.01 Å³ per atom. The formation energy from the elements is -0.6327 eV per atom.

Cell lengths 6.1635, 6.1635, 11.1940 Å; angles 115.39, 115.39, 43.59 degrees
Sites, in units of the cell vectors:
Nd 0.0063 0.0063 0.3328
Nd 0.1854 0.1854 0.1073
Nd 0.8146 0.8146 0.8927
Nd 0.9937 0.9937 0.6672
Cu 0.2874 0.2874 0.6556
Cu 0.7126 0.7126 0.3444
Sn 0.3424 0.3424 0.4338
Sn 0.4750 0.4750 0.1204
Sn 0.5250 0.5250 0.8796
Sn 0.6576 0.6576 0.5662

***

Entry 2:
Computed, not measured: crystalline Nd2Cu3Sn5 at its relaxed geometry at the GGA-PBE level of DFT.

Properties
The value obtained for the magnetic moment is 0.000 μB per cell. The value obtained for the volume is 23.33 Å³ per atom. The formation energy from the elements is -0.3575 eV per atom.

Cell lengths 12.6183, 12.6183, 8.2418 Å; angles 90.00, 90.00, 159.17 degrees
Sites, in units of the cell vectors:
Nd 0.0346 0.9654 0.5000
Nd 0.3285 0.6715 0.4684
Nd 0.6715 0.3285 0.9684
Nd 0.9654 0.0346 0.0000
Cu 0.0919 0.9081 0.8382
Cu 0.2609 0.7391 0.8326
Cu 0.4555 0.5445 0.6387
Cu 0.5445 0.4555 0.1387
Cu 0.7391 0.2609 0.3326
Cu 0.9081 0.0919 0.3382
Sn 0.0984 0.9016 0.1519
Sn 0.1712 0.8288 0.6352
Sn 0.2415 0.7585 0.1596
Sn 0.3672 0.6328 0.8859
Sn 0.4566 0.5434 0.3061
Sn 0.5434 0.4566 0.8061
Sn 0.6328 0.3672 0.3859
Sn 0.7585 0.2415 0.6596
Sn 0.8288 0.1712 0.1352
Sn 0.9016 0.0984 0.6519

***

Entry 3:
Computed, not measured: crystalline Nd2Cu2Sn3 at its relaxed geometry at the GGA-PBE level of DFT.

Properties
The value obtained for the magnetic moment is 0.000 μB per cell. The value obtained for the volume is 23.58 Å³ per atom. Its polymorph energy (0 for the lowest one) is 0.0 meV/atom. The formation energy from the elements is -0.5326 eV per atom.

Cell lengths 10.1421, 10.1421, 7.1811 Å; angles 90.00, 90.00, 153.46 degrees
Sites, in units of the cell vectors:
Nd 0.0435 0.9565 0.7500
Nd 0.1615 0.8385 0.2500
Nd 0.8385 0.1615 0.7500
Nd 0.9565 0.0435 0.2500
Cu 0.3010 0.6990 0.0617
Cu 0.3010 0.6990 0.4383
Cu 0.6990 0.3010 0.5617
Cu 0.6990 0.3010 0.9383
Sn 0.2172 0.7828 0.7500
Sn 0.4288 0.5712 0.5489
Sn 0.4288 0.5712 0.9511
Sn 0.5712 0.4288 0.0489
Sn 0.5712 0.4288 0.4511
Sn 0.7828 0.2172 0.2500

***

Entry 4:
Computed, not measured: crystalline Nd8CuSn2 at its relaxed geometry at the GGA-PBE level of DFT.

Properties
The value obtained for the magnetic moment is 0.000 μB per cell. The value obtained for the volume is 30.94 Å³ per atom. The formation energy from the elements is -0.3057 eV per atom.

Cell lengths 10.2001, 10.2001, 6.9316 Å; angles 104.83, 104.83, 29.30 degrees
Sites, in units of the cell vectors:
Nd 0.0147 0.0147 0.2834
Nd 0.2152 0.2152 0.8154
Nd 0.3504 0.3504 0.5043
Nd 0.4083 0.4083 0.0273
Nd 0.5917 0.5917 0.9727
Nd 0.6496 0.6496 0.4957
Nd 0.7848 0.7848 0.1846
Nd 0.9853 0.9853 0.7166
Cu 0.5000 0.5000 0.5000
Sn 0.1798 0.1798 0.2510
Sn 0.8202 0.8202 0.7490

***

Entry 5:
Computed, not measured: crystalline NdCu2Sn3 at its relaxed geometry at the GGA-PBE level of DFT.

Properties
The value obtained for the magnetic moment is 0.000 μB per cell. The value obtained for the volume is 24.07 Å³ per atom. The formation energy from the elements is -0.1679 eV per atom.

Cell lengths 6.9663, 6.9663, 6.7222 Å; angles 90.00, 90.00, 117.70 degrees
Sites, in units of the cell vectors:
Nd 0.1094 0.8906 0.7500
Nd 0.8906 0.1094 0.2500
Cu 0.3133 0.3133 0.0000
Cu 0.3133 0.3133 0.5000
Cu 0.6867 0.6867 0.0000
Cu 0.6867 0.6867 0.5000
Sn 0.0604 0.3695 0.7500
Sn 0.3695 0.0604 0.2500
Sn 0.3710 0.6290 0.2500
Sn 0.6290 0.3710 0.7500
Sn 0.6305 0.9396 0.7500
Sn 0.9396 0.6305 0.2500

***

Entry 6:
Computed, not measured: crystalline SrNdCuSn at its relaxed geometry at the GGA-PBE level of DFT.

Properties
The value obtained for the magnetic moment is 0.000 μB per cell. The value obtained for the volume is 28.39 Å³ per atom. The formation energy from the elements is -0.3579 eV per atom.

Cell lengths 5.4357, 5.4357, 5.4357 Å; angles 60.00, 60.00, 60.00 degrees
Sites, in units of the cell vectors:
Sr 0.0000 0.0000 0.0000
Nd 0.5000 0.5000 0.5000
Cu 0.7500 0.7500 0.7500
Sn 0.2500 0.2500 0.2500